Entry from Alexandria: crystalline ScWCl2 at its relaxed geometry (PBE).

```
ScWCl2
1.0
-0.099 -4.451 1.096
-4.014 -2.094 0.724
-1.562 -3.071 -3.024
Cl Sc W
2 1 1
Direct
0.250 0.250 0.250
0.750 0.750 0.750
0.000 0.000 0.000
0.500 0.500 0.500
```

- Formation energy without anion corrections: 1.704 eV per formula unit
- Total magnetization: 2.652 μB/f.u.
- Total energy: -21.3 eV per formula unit
- Distance to the lowest polymorph of the same formula: 894 meV per atom